Record 1
## Sr2LiP3Pd12 (PBE)

Data for a relaxed Sr2LiP3Pd12 crystal.

Structure (POSCAR):
```
Sr2LiP3Pd12
1.0
-0.785 4.171 -5.895
-0.644 -4.576 -5.605
-7.077 -0.168 -1.629
Pd P Li Sr
12 3 1 2
Cartesian
-6.986 1.803 -8.469
-1.712 -0.298 -8.147
-1.520 -2.376 -4.659
-1.591 2.012 -4.805
-4.747 -0.165 -2.665
-6.915 -2.585 -8.324
-3.759 -0.408 -10.464
-3.068 2.295 -7.508
-5.439 -2.868 -5.620
-6.794 -0.275 -4.982
-5.522 2.312 -5.792
-2.985 -2.885 -7.336
-0.322 -2.288 -2.802
-0.393 2.086 -2.948
-3.539 -0.084 -0.814
0.000 0.000 0.000
-5.195 -0.350 -8.018
-3.311 -0.223 -5.110
```

DFT formation energy (kJ/mol of atoms): -37.2
Space-group type: R-3m (166)
DOS at the Fermi energy (states/eV/atom): 0.467


Record 2
## SiCSeBr2 (PBE)

Data for a relaxed SiCSeBr2 crystal.

Structure (POSCAR):
```
SiCSeBr2
1.0
4.719 0.000 0.000
0.000 4.719 0.000
0.000 0.000 4.453
C Si Br Se
1 1 2 1
Cartesian
0.000 0.000 0.000
2.359 2.359 2.227
0.000 2.359 0.000
2.359 0.000 0.000
0.000 0.000 2.227
```

Formation energy from raw total energies (eV per atom): 1.23
Space-group type: P4/mmm (123)
Energy above the most stable polymorph in this dataset (meV/atom): 0
DOS at the Fermi energy (states/eV/atom): 0.204


Record 3
## Ce2Pd3Au4 (PBE)

Data for a relaxed Ce2Pd3Au4 crystal.

Structure (POSCAR):
```
Ce2Pd3Au4
1.0
-1.383 3.955 -1.418
-3.620 2.376 3.260
4.556 5.651 4.416
Ce Au Pd
2 4 3
Cartesian
-0.638 9.086 5.265
0.191 2.896 0.992
1.874 4.516 3.868
-2.418 4.601 1.393
1.971 7.380 4.864
-2.321 7.466 2.389
0.239 5.686 1.827
-0.686 6.295 4.430
0.000 0.000 0.000
```

DFT formation energy (kJ/mol of atoms): -55.5
Space-group type: C2/m (12)
DOS at the Fermi energy (states/eV/atom): 1.386


Record 4
## La3In2Hg9 (PBE)

Data for a relaxed La3In2Hg9 crystal.

Structure (POSCAR):
```
La3In2Hg9
1.0
-4.634 -0.476 -1.675
-0.726 -9.286 4.645
0.219 8.031 4.427
Hg In La
9 2 3
Cartesian
-0.363 -4.643 2.323
-1.251 -5.709 5.081
-1.992 -1.182 5.846
-3.149 -0.549 1.552
-2.953 1.952 0.300
-2.188 -3.683 7.097
-0.938 -1.705 3.078
-3.890 3.978 2.316
-4.203 -0.026 4.319
-2.553 -3.257 0.673
-2.807 -6.504 2.297
0.000 0.000 0.000
-1.430 1.831 3.436
-3.711 -3.562 3.961
```

DFT formation energy (kJ/mol of atoms): -31.3
Space-group type: Immm (71)
DOS at the Fermi energy (states/eV/atom): 0.624